No. 1
Here is a relaxed structure of PmTaBi from Alexandria. Energies are from PBE-GGA.

Cell and atoms, written as POSCAR:
```
PmTaBi
1.0
3.1868 -0.1744 -0.8935
0.0968 5.2518 -0.6825
-4.2490 -3.7984 11.3098
Bi Pm Ta
2 2 2
direct
0.4029 0.1107 0.3603 Bi
0.5971 0.8893 0.6397 Bi
0.3877 0.5018 0.7520 Pm
0.6123 0.4982 0.2480 Pm
0.5000 0.7998 0.0498 Ta
0.5000 0.2002 0.9502 Ta
```

Its total magnetization is 0.00 μB/cell. For the volume, the calculation gives 161.10 Å³ per cell. Its space-group type is No. 11. The calculation puts the formation energy at 0.00 eV/atom.


No. 2
Here is a relaxed structure of Sm3HoSb2 from Alexandria. Energies are from PBE-GGA.

Cell and atoms, written as POSCAR:
```
Sm3HoSb2
1.0
7.1225 0.0000 0.0000
0.0000 7.8181 0.0000
-3.5613 -3.9090 7.2410
Sb Sm Ho
4 6 2
direct
0.4668 0.6453 0.2906 Sb
0.1763 0.8547 0.7094 Sb
0.5332 0.3547 0.7094 Sb
0.8237 0.1453 0.2906 Sb
0.5000 0.7500 0.0000 Sm
0.7916 0.5416 0.5831 Sm
0.2084 0.9584 0.4169 Sm
0.7916 0.0416 0.5831 Sm
0.5000 0.2500 0.0000 Sm
0.2084 0.4584 0.4169 Sm
0.0000 0.0000 0.0000 Ho
0.0000 0.5000 0.0000 Ho
```

Its total magnetization is 0.53 μB/cell. For the volume, the calculation gives 403.21 Å³ per cell. Its distance to the lowest polymorph of the same formula is 0.223 eV per atom. The formation energy without anion corrections is -57.7 kJ per mole of atoms. Its space-group type is No. 72.


No. 3
Here is a relaxed structure of La2Ga2Ni from Alexandria. Energies are from PBE-GGA.

Cell and atoms, written as POSCAR:
```
La2Ga2Ni
1.0
-4.9374 -1.9043 4.3708
-4.1848 -1.2837 -5.2865
1.6142 -4.5707 -0.1680
Ga La Ni
4 4 2
direct
0.8544 0.6456 0.0000 Ga
0.1456 0.3544 0.0000 Ga
0.6456 0.1456 0.0000 Ga
0.3544 0.8544 0.0000 Ga
0.1625 0.6625 0.5000 La
0.3375 0.1625 0.5000 La
0.8375 0.3375 0.5000 La
0.6625 0.8375 0.5000 La
0.5000 0.5000 0.0000 Ni
0.0000 0.0000 0.0000 Ni
```

Its total magnetization is 0.00 μB/cell. For the volume, the calculation gives 228.49 Å³ per cell. Its distance to the lowest polymorph of the same formula is 0.148 eV per atom. Its space-group type is No. 127. The calculation puts the formation energy at -0.40 eV/atom.


Which calculated total energy belongs to each record? In order, -0.5018; -0.3745; -0.3483 Ry/atom.